TiTc3Hg (SCAN, single point on PBEsol structure); theoretical density = 10.0 g/cm3; electronic total energy = -36.4982 eV/atom; energy of formation from the pure elements = 1377 meV per atom; DOS at the Fermi energy = 3.77 states/eV/f.u.; crystal system = cubic
1.0
4.4769 0.0000 0.0000
0.0000 4.4769 0.0000
0.0000 0.0000 4.4769
Hg Tc Ti
1 3 1
Direct
0.5000 0.5000 0.5000 Hg
0.0000 0.0000 0.5000 Tc
0.5000 0.0000 0.0000 Tc
0.0000 0.5000 0.0000 Tc
0.0000 0.0000 0.0000 Ti



TlTcHg2 (SCAN, single point on PBEsol structure); theoretical density = 14.3 g/cm3; electronic total energy = -60.3946 eV/atom; energy of formation from the pure elements = 543 meV per atom; DOS at the Fermi energy = 2.30 states/eV/f.u.; energy above the lowest structure with this stoichiometry = 0 meV/atom; crystal system = trigonal
1.0
-0.8525 2.2314 1.9043
-0.1662 -0.5352 3.0031
9.3101 3.3698 2.6697
Tl Hg Tc
1 2 1
Direct
0.0000 0.0000 0.0000 Tl
0.7602 0.7602 0.7193 Hg
0.2398 0.2398 0.2807 Hg
0.5000 0.5000 0.5000 Tc



Tl2TcHg (SCAN, single point on PBEsol structure); theoretical density = 13.9 g/cm3; electronic total energy = -61.3939 eV/atom; energy of formation from the pure elements = 592 meV per atom; DOS at the Fermi energy = 2.45 states/eV/f.u.; energy above the lowest structure with this stoichiometry = 0 meV/atom; crystal system = orthorhombic
1.0
-1.6763 -3.0494 -0.7828
2.4700 -0.4572 -3.5081
4.5274 -1.2583 3.3518
Tc Hg Tl
1 1 2
Direct
0.4585 0.5000 0.7924 Tc
0.3030 0.0000 0.4806 Hg
0.7150 0.5000 0.3049 Tl
0.0236 0.0000 0.9220 Tl



Tl2TcHg (SCAN, single point on PBEsol structure); theoretical density = 13.6 g/cm3; electronic total energy = -61.1740 eV/atom; energy of formation from the pure elements = 812 meV per atom; DOS at the Fermi energy = 3.77 states/eV/f.u.; energy above the lowest structure with this stoichiometry = 220 meV/atom; crystal system = cubic
1.0
-4.0860 -2.7764 0.4582
-1.4400 -1.5743 4.4791
-4.0681 1.9023 2.1085
Tc Tl Hg
1 2 1
Direct
0.2500 0.2500 0.2500 Tc
0.7500 0.7500 0.7500 Tl
0.0000 0.0000 0.0000 Tl
0.5000 0.5000 0.5000 Hg



TlTc2Hg (SCAN, single point on PBEsol structure); theoretical density = 14.7 g/cm3; electronic total energy = -51.8266 eV/atom; energy of formation from the pure elements = 834 meV per atom; DOS at the Fermi energy = 2.84 states/eV/f.u.; crystal system = tetragonal
1.0
-2.5833 1.8603 2.5954
0.8025 -2.8531 2.8437
3.9207 2.7471 -1.3166
Hg Tl Tc
1 1 2
Direct
0.2500 0.7500 0.5000 Hg
0.5000 0.5000 0.0000 Tl
0.7500 0.2500 0.5000 Tc
0.0000 0.0000 0.0000 Tc



TlTcHg2 (SCAN, single point on PBEsol structure); theoretical density = 14.7 g/cm3; electronic total energy = -60.2571 eV/atom; energy of formation from the pure elements = 680 meV per atom; DOS at the Fermi energy = 0.82 states/eV/f.u.; energy above the lowest structure with this stoichiometry = 138 meV/atom; crystal system = tetragonal
1.0
-1.4888 2.4822 -0.4345
-1.6061 -1.7741 -4.6318
-4.1915 -2.1175 2.2644
Hg Tc Tl
2 1 1
Direct
0.0000 0.0000 0.5000 Hg
0.0000 0.5000 0.0000 Hg
0.5000 0.5000 0.5000 Tc
0.5000 0.0000 0.0000 Tl